Entry from Alexandria: K3Ho2ScSe6 after structural relaxation (PBE).

As for the uncorrected formation energy: -1980 kJ/mol of formula units. The calculation puts the total energy at -5.018 eV/atom. The value obtained for the volume is 340.5 Å³/cell.

a b c (Å): 7.164 7.164 8.025
angles (deg): 98.57 98.57 120.00
Sites, in units of the cell vectors:
Se (0.067, 0.390, 0.201)
Se (0.933, 0.610, 0.799)
Se (0.744, 0.744, 0.201)
Se (0.390, 0.067, 0.201)
Se (0.256, 0.256, 0.799)
Se (0.610, 0.933, 0.799)
Ho (0.666, 0.334, 0.000)
Ho (0.334, 0.666, 0.000)
K (0.831, 0.169, 0.500)
K (0.169, 0.831, 0.500)
K (0.500, 0.500, 0.500)
Sc (0.000, 0.000, 0.000)